# 1
# RbMg2Au2 (GGA-PBE, optimized geometry)
data_RbMg2Au2
_cell_length_a 4.664
_cell_length_b 4.664
_cell_length_c 12.018
_cell_angle_alpha 90.00
_cell_angle_beta 90.00
_cell_angle_gamma 90.00
_space_group_name_H-M_alt 'I 4/m m m'
_space_group_IT_number 139
_space_group_name_Hall '-I 4 2'
loop_
_atom_site_label
_atom_site_fract_x
_atom_site_fract_y
_atom_site_fract_z
_atom_site_occupancy
Rb1 0.000 0.000 0.000 1
Mg1 0.000 0.500 0.250 1
Au1 0.000 0.000 0.378 1
# * volume: 26.137 Å³/atom
# * crystal system: tetragonal
# * total moment: 0.00 μB per atom
# * energy of formation: -1.8 eV per formula unit


# 2
# Er12Tm6Cd (GGA-PBE, optimized geometry)
data_Er12Tm6Cd
_cell_length_a 11.6802
_cell_length_b 11.6802
_cell_length_c 14.7560
_cell_angle_alpha 90.00
_cell_angle_beta 90.00
_cell_angle_gamma 120.00
_space_group_name_H-M_alt 'R -3'
_space_group_IT_number 148
_space_group_name_Hall '-R 3'
loop_
_atom_site_label
_atom_site_fract_x
_atom_site_fract_y
_atom_site_fract_z
_atom_site_occupancy
Er1 0.0086 0.8292 0.3146 1
Er2 0.0474 0.1971 0.9150 1
Tm1 0.0218 0.5925 0.1908 1
Cd1 0.0000 0.0000 0.5000 1
# * volume: 30.586 Å³/atom
# * crystal system: trigonal
# * total moment: 0.00 μB per atom
# * energy of formation: 2.2 eV per formula unit


# 3
# PmY2Ag (GGA-PBE, optimized geometry)
data_PmY2Ag
_cell_length_a 3.626
_cell_length_b 3.626
_cell_length_c 8.826
_cell_angle_alpha 90.00
_cell_angle_beta 90.00
_cell_angle_gamma 90.00
_space_group_name_H-M_alt 'P 4/m m m'
_space_group_IT_number 123
_space_group_name_Hall '-P 4 2'
loop_
_atom_site_label
_atom_site_fract_x
_atom_site_fract_y
_atom_site_fract_z
_atom_site_occupancy
Pm1 0.000 0.000 0.000 1
Y1 0.500 0.500 0.292 1
Ag1 0.000 0.000 0.500 1
# * volume: 29.011 Å³/atom
# * crystal system: tetragonal
# * total moment: 0.00 μB per atom
# * energy of formation: -0.6 eV per formula unit


# 4
# IrPb2 (GGA-PBE, optimized geometry)
data_IrPb2
_cell_length_a 13.601
_cell_length_b 3.906
_cell_length_c 6.059
_cell_angle_alpha 90.00
_cell_angle_beta 107.13
_cell_angle_gamma 90.00
_space_group_name_H-M_alt 'C 1 2/m 1'
_space_group_IT_number 12
loop_
_space_group_symop_operation_xyz
'x,y,z'
'-x,-y,-z'
'-x,y,-z'
'x,-y,z'
'x+1/2,y+1/2,z'
'-x+1/2,-y+1/2,-z'
'-x+1/2,y+1/2,-z'
'x+1/2,-y+1/2,z'
loop_
_atom_site_label
_atom_site_fract_x
_atom_site_fract_y
_atom_site_fract_z
_atom_site_occupancy
Ir1 0.235 0.000 0.330 1
Pb1 0.081 0.500 0.289 1
Pb2 0.152 0.000 0.838 1
# * volume: 25.631 Å³/atom
# * crystal system: monoclinic
# * total moment: 0.00 μB per atom
# * energy of formation: 0.5 eV per formula unit


# 5
# Nd4Te5S (GGA-PBE, optimized geometry)
data_Nd4Te5S
_cell_length_a 19.381
_cell_length_b 4.404
_cell_length_c 8.788
_cell_angle_alpha 90.00
_cell_angle_beta 104.03
_cell_angle_gamma 90.00
_space_group_name_H-M_alt 'C 1 2/m 1'
_space_group_IT_number 12
loop_
_space_group_symop_operation_xyz
'x,y,z'
'-x,-y,-z'
'-x,y,-z'
'x,-y,z'
'x+1/2,y+1/2,z'
'-x+1/2,-y+1/2,-z'
'-x+1/2,y+1/2,-z'
'x+1/2,-y+1/2,z'
loop_
_atom_site_label
_atom_site_fract_x
_atom_site_fract_y
_atom_site_fract_z
_atom_site_occupancy
Nd1 0.002 0.000 0.244 1
Nd2 0.168 0.500 0.096 1
Te1 0.000 0.500 0.500 1
Te2 0.163 0.000 0.340 1
Te3 0.165 0.000 0.832 1
S1 0.000 0.500 0.000 1
# * formation energy without anion corrections: -1374 kJ/mol of formula units
# * volume: 36.383 Å³/atom
# * crystal system: monoclinic
# * total moment: 0.00 μB per atom


# 6
# CoNiSb (GGA-PBE, optimized geometry)
data_CoNiSb
_cell_length_a 4.0686
_cell_length_b 4.0686
_cell_length_c 9.7469
_cell_angle_alpha 90.00
_cell_angle_beta 90.00
_cell_angle_gamma 120.00
_space_group_name_H-M_alt 'P 3 m 1'
_space_group_IT_number 156
loop_
_space_group_symop_operation_xyz
'x,y,z'
'-y,x-y,z'
'-x+y,-x,z'
'-y,-x,z'
'-x+y,y,z'
'x,x-y,z'
loop_
_atom_site_label
_atom_site_fract_x
_atom_site_fract_y
_atom_site_fract_z
_atom_site_occupancy
Co1 0.0000 0.0000 0.0000 1
Co2 0.0000 0.0000 0.2461 1
Co3 0.0000 0.0000 0.5081 1
Ni1 0.0000 0.0000 0.7460 1
Ni2 0.6667 0.3333 0.3690 1
Ni3 0.6667 0.3333 0.6382 1
Sb1 0.3333 0.6667 0.4494 1
Sb2 0.3333 0.6667 0.8395 1
Sb3 0.6667 0.3333 0.1133 1
# * formation energy without anion corrections: 17 kJ/mol of formula units
# * volume: 15.526 Å³/atom
# * crystal system: trigonal
# * total moment: 0.33 μB per atom


# 7
# TlPbSeF2 (GGA-PBE, optimized geometry)
data_TlPbSeF2
_cell_length_a 4.732
_cell_length_b 4.732
_cell_length_c 5.567
_cell_angle_alpha 90.00
_cell_angle_beta 90.00
_cell_angle_gamma 90.00
_space_group_name_H-M_alt 'P 4/m m m'
_space_group_IT_number 123
_space_group_name_Hall '-P 4 2'
loop_
_atom_site_label
_atom_site_fract_x
_atom_site_fract_y
_atom_site_fract_z
_atom_site_occupancy
Tl1 0.000 0.000 0.000 1
Pb1 0.500 0.500 0.500 1
Se1 0.500 0.500 0.000 1
F1 0.000 0.500 0.500 1
# * formation energy without anion corrections: -668 kJ/mol of formula units
# * volume: 24.926 Å³/atom
# * crystal system: tetragonal
# * total moment: 0.00 μB per atom


# 8
# Hg2MoAs (GGA-PBE, optimized geometry)
data_Hg2MoAs
_cell_length_a 2.841
_cell_length_b 5.033
_cell_length_c 12.898
_cell_angle_alpha 90.00
_cell_angle_beta 90.00
_cell_angle_gamma 90.00
_space_group_name_H-M_alt 'I m m 2'
_space_group_IT_number 44
loop_
_space_group_symop_operation_xyz
'x,y,z'
'-x,-y,z'
'-x,y,z'
'x,-y,z'
'x+1/2,y+1/2,z+1/2'
'-x+1/2,-y+1/2,z+1/2'
'-x+1/2,y+1/2,z+1/2'
'x+1/2,-y+1/2,z+1/2'
loop_
_atom_site_label
_atom_site_fract_x
_atom_site_fract_y
_atom_site_fract_z
_atom_site_occupancy
Hg1 0.000 0.000 0.000 1
Hg2 0.000 0.500 0.175 1
Mo1 0.000 0.500 0.702 1
As1 0.000 0.000 0.365 1
# * volume: 23.054 Å³/atom
# * crystal system: orthorhombic
# * total moment: 0.00 μB per atom
# * energy of formation: 1.3 eV per formula unit